P | # PBE+U Li2Fe3CuO8, relaxed
# **Spin magnetization**: 8.99 μB/f.u.
# **Volume**: 431 Å³ per cell
# **Crystal system**: trigonal
data_Li2Fe3CuO8
_symmetry_space_group_name_H-M 'R -3 m'
_symmetry_Int_Tables_number 166
_symmetry_space_group_name_Hall '-R 3 2"'
_cell_length_a 5.8727
_cell_length_b 5.8727
_cell_length_c 14.4321
_cell_angle_alpha 90.00
_cell_angle_beta 90.00
_cell_angle_gamma 120.00
loop_
_atom_site_label
_atom_site_fract_x
_atom_site_fract_y
_atom_site_fract_z
Li1 0.0000 0.0000 0.1226
Fe1 0.0000 0.5000 0.0000
Cu1 0.0000 0.0000 0.5000
O1 0.0000 0.0000 0.2606
O2 0.0356 0.5178 0.2571



Q | # PBE+U Li2Fe3CuO8, relaxed
# **Spin magnetization**: 7.08 μB/f.u.
# **Volume**: 557 Å³ per cell
# **Crystal system**: cubic
data_Li2Fe3CuO8
_symmetry_space_group_name_H-M 'P 21 3'
_symmetry_Int_Tables_number 198
_symmetry_space_group_name_Hall 'P 2ac 2ab 3'
_cell_length_a 8.2287
_cell_length_b 8.2287
_cell_length_c 8.2287
_cell_angle_alpha 90.00
_cell_angle_beta 90.00
_cell_angle_gamma 90.00
loop_
_atom_site_label
_atom_site_fract_x
_atom_site_fract_y
_atom_site_fract_z
Li1 0.1227 0.1227 0.1227
Li2 0.2471 0.7529 0.2529
Fe1 0.1199 0.8737 0.8767
Cu1 0.0069 0.9931 0.4931
O1 0.1016 0.8709 0.1034
O2 0.1157 0.3843 0.6157
O3 0.1232 0.8528 0.6412
O4 0.1350 0.6350 0.8650



Computed relative energies in units of meV per atom: P 0; Q 20



P | # PBE+U Li2Fe3CuO8, relaxed
# **Spin magnetization**: 7.05 μB/f.u.
# **Volume**: 419 Å³ per cell
# **Crystal system**: trigonal
data_Li2Fe3CuO8
_symmetry_space_group_name_H-M 'R 3 m'
_symmetry_Int_Tables_number 160
_symmetry_space_group_name_Hall 'R 3 -2"'
_cell_length_a 5.7735
_cell_length_b 5.7735
_cell_length_c 14.5093
_cell_angle_alpha 90.00
_cell_angle_beta 90.00
_cell_angle_gamma 120.00
loop_
_atom_site_label
_atom_site_fract_x
_atom_site_fract_y
_atom_site_fract_z
Li1 0.0000 0.0000 0.0000
Li2 0.0000 0.0000 0.3766
Fe1 0.1687 0.3375 0.8287
Cu1 0.0000 0.0000 0.6136
O1 0.0000 0.0000 0.2345
O2 0.0000 0.0000 0.7563
O3 0.0256 0.5128 0.7605
O4 0.1813 0.3625 0.5693



Q | # PBE+U Li2Fe3CuO8, relaxed
# **Spin magnetization**: 11.12 μB/f.u.
# **Volume**: 295 Å³ per cell
# **Crystal system**: monoclinic
data_Li2Fe3CuO8
_symmetry_space_group_name_H-M 'C 1 2/m 1'
_symmetry_Int_Tables_number 12
_symmetry_space_group_name_Hall '-C 2y'
_cell_length_a 10.1351
_cell_length_b 5.9531
_cell_length_c 6.0500
_cell_angle_alpha 90.00
_cell_angle_beta 126.07
_cell_angle_gamma 90.00
loop_
_atom_site_label
_atom_site_fract_x
_atom_site_fract_y
_atom_site_fract_z
Li1 0.2500 0.2500 0.0000
Fe1 0.0000 0.0000 0.5000
Fe2 0.2500 0.2500 0.5000
Cu1 0.0000 0.5000 0.5000
O1 0.0040 0.2407 0.2919
O2 0.2298 0.5000 0.7120
O3 0.2316 0.0000 0.7161



R | # PBE+U Li2Fe3CuO8, relaxed
# **Spin magnetization**: 9.03 μB/f.u.
# **Volume**: 572 Å³ per cell
# **Crystal system**: cubic
data_Li2Fe3CuO8
_symmetry_space_group_name_H-M 'P 43 3 2'
_symmetry_Int_Tables_number 212
_symmetry_space_group_name_Hall 'P 4acd 2ab 3'
_cell_length_a 8.3008
_cell_length_b 8.3008
_cell_length_c 8.3008
_cell_angle_alpha 90.00
_cell_angle_beta 90.00
_cell_angle_gamma 90.00
loop_
_atom_site_label
_atom_site_fract_x
_atom_site_fract_y
_atom_site_fract_z
Li1 0.0023 0.0023 0.0023
Fe1 0.1231 0.1269 0.6250
Cu1 0.1250 0.8750 0.3750
O1 0.1081 0.1158 0.3882
O2 0.1133 0.6133 0.8867



Computed relative energies in units of meV per atom: P 123; Q 0; R 99